No. 1
VASP calculation (PBE) on an optimized crystal structure of Sr2Re.

The space group is Pnma (No. 62) and the conventional cell measures 7.1761, 5.1934 and 10.0341 Å, with angles of 90.00, 90.00 and 90.00 degrees. Symmetry generates all atoms from Sr at (0.0443, 0.2500, 0.1872), Sr at (0.1689, 0.2500, 0.5585) and Re at (0.2146, 0.2500, 0.8700).


No. 2
VASP calculation (PBE) on an optimized crystal structure of SrRe2.

The space group is C2/m (No. 12) and the conventional cell measures 10.4268, 3.0818 and 8.3490 Å, with angles of 90.00, 108.09 and 90.00 degrees. Symmetry generates all atoms from Sr at (0.1515, 0.0000, 0.1123), Re at (0.0022, 0.5000, 0.3462) and Re at (0.1772, 0.0000, 0.5672).


No. 3
VASP calculation (PBE) on an optimized crystal structure of SrRe.

The space group is P6_3/mmc (No. 194) and the conventional cell measures 5.4720, 5.4720 and 6.1888 Å, with angles of 90.00, 90.00 and 120.00 degrees. Symmetry generates all atoms from Sr at (0.3333, 0.6667, 0.2500) and Re at (0.3333, 0.6667, 0.7500).


| no. | formation energy from the elements (eV/atom) | raw total energy (eV per atom) | total moment (Bohr magnetons per cell) |
| --- | --- | --- | --- |
| 1 | 1.152 | -4.118 | 8.12 |
| 2 | 0.693 | -8.166 | 0.00 |
| 3 | 2.623 | -4.442 | 6.16 |